No. 1
Here is Al2Cu3Ni3 after structural relaxation from the Alexandria database. Energies are from PBE.

Geometry as POSCAR:
```
Al2Cu3Ni3
1.0
-0.206 6.743 1.439
1.002 -4.578 5.062
4.838 0.295 -0.691
Al Ni Cu
4 6 6
Direct
0.667 0.333 0.000
0.333 0.667 0.000
0.333 0.667 0.500
0.667 0.333 0.500
0.000 0.223 0.250
0.223 0.223 0.750
0.223 0.000 0.250
0.777 0.777 0.250
0.000 0.777 0.750
0.777 0.000 0.750
0.599 0.000 0.250
0.401 0.000 0.750
0.000 0.599 0.250
0.599 0.599 0.750
0.000 0.401 0.750
0.401 0.401 0.250
```

Results
The volume is 202 Å³ per cell. The energy of formation comes out at 0.070 eV/atom. The energy above the most stable polymorph in this dataset is 411.2 meV/atom.


No. 2
Here is ZrTiAg2As after structural relaxation from the Alexandria database. Energies are from PBE.

Geometry as POSCAR:
```
ZrTiAg2As
1.0
-5.105 0.722 0.309
-0.094 -2.521 4.329
0.780 4.405 2.582
Ti Zr Ag As
1 1 2 1
Direct
0.500 0.500 0.500
0.000 0.000 0.000
0.500 0.000 0.000
0.000 0.000 0.500
0.000 0.500 0.000
```

Results
The volume is 134 Å³ per cell. The energy of formation comes out at 0.971 eV/atom.


No. 3
Here is CeIn4Cu2 after structural relaxation from the Alexandria database. Energies are from PBE.

Geometry as POSCAR:
```
CeIn4Cu2
1.0
4.621 0.000 0.000
0.000 7.176 0.000
0.000 0.000 18.291
In Ce Cu
16 4 8
Direct
0.250 0.818 0.184
0.750 0.182 0.816
0.250 0.271 0.694
0.750 0.660 0.967
0.750 0.318 0.316
0.250 0.503 0.428
0.250 0.229 0.194
0.750 0.003 0.072
0.750 0.771 0.806
0.750 0.497 0.572
0.250 0.997 0.928
0.750 0.729 0.306
0.250 0.340 0.033
0.250 0.160 0.533
0.750 0.840 0.467
0.250 0.682 0.684
0.750 0.516 0.138
0.750 0.984 0.638
0.250 0.016 0.362
0.250 0.484 0.862
0.250 0.530 0.281
0.250 0.763 0.540
0.250 0.737 0.040
0.750 0.237 0.460
0.750 0.030 0.219
0.750 0.263 0.960
0.750 0.470 0.719
0.250 0.970 0.781
```

Results
The volume is 607 Å³ per cell. The energy of formation comes out at -0.200 eV/atom.


No. 4
Here is In5Sn2Bi3 after structural relaxation from the Alexandria database. Energies are from PBE.

Geometry as POSCAR:
```
In5Sn2Bi3
1.0
3.353 0.000 -0.571
0.000 11.314 0.000
0.906 0.000 15.448
Bi Sn In
6 4 10
Direct
0.401 0.889 0.801
0.228 0.241 0.457
0.975 0.559 0.949
0.599 0.389 0.199
0.772 0.741 0.543
0.025 0.059 0.051
0.177 0.730 0.355
0.499 0.807 0.998
0.823 0.230 0.645
0.501 0.307 0.002
0.303 0.984 0.605
0.126 0.150 0.252
0.398 0.388 0.796
0.923 0.133 0.847
0.703 0.984 0.407
0.697 0.484 0.395
0.602 0.888 0.204
0.077 0.633 0.153
0.874 0.650 0.748
0.297 0.484 0.593
```

Results
The volume is 592 Å³ per cell. The energy of formation comes out at 0.045 eV/atom.


No. 5
Here is LiZr2Ir after structural relaxation from the Alexandria database. Energies are from PBE.

Geometry as POSCAR:
```
LiZr2Ir
1.0
-0.112 -0.017 4.657
-2.873 -0.594 3.618
0.959 -5.614 0.569
Zr Ir Li
2 1 1
Direct
0.503 0.503 0.493
0.997 0.997 0.007
0.250 0.250 0.250
0.750 0.750 0.750
```

Results
The volume is 75 Å³ per cell. The energy of formation comes out at -0.097 eV/atom. The energy above the most stable polymorph in this dataset is 370.1 meV/atom.


No. 6
Here is K2Sr after structural relaxation from the Alexandria database. Energies are from PBE.

Geometry as POSCAR:
```
K2Sr
1.0
-1.744 -2.963 2.684
1.966 -3.185 -2.239
8.084 3.815 5.922
K Sr
2 1
Direct
0.662 0.662 0.325
0.338 0.338 0.675
0.000 0.000 0.000
```

Results
The volume is 195 Å³ per cell. The energy of formation comes out at 0.092 eV/atom.


No. 7
Here is NaLaNdTl after structural relaxation from the Alexandria database. Energies are from PBE.

Geometry as POSCAR:
```
NaLaNdTl
1.0
5.617 0.000 0.000
2.808 4.864 0.000
2.808 1.621 4.586
La Na Nd Tl
1 1 1 1
Direct
0.250 0.250 0.250
0.000 0.000 0.000
0.750 0.750 0.750
0.500 0.500 0.500
```

Results
The volume is 125 Å³ per cell. The energy of formation comes out at -0.115 eV/atom.


No. 8
Here is Ti2V2Zn after structural relaxation from the Alexandria database. Energies are from PBE.

Geometry as POSCAR:
```
Ti2V2Zn
1.0
3.654 0.000 0.000
0.000 3.654 0.000
1.827 1.827 6.119
V Ti Zn
2 2 1
Direct
0.581 0.581 0.839
0.419 0.419 0.161
0.750 0.250 0.500
0.250 0.750 0.500
0.000 0.000 0.000
```

Results
The volume is 82 Å³ per cell. The energy of formation comes out at 0.574 eV/atom. The energy above the most stable polymorph in this dataset is 485.6 meV/atom.